First-principles (PBE-GGA) data for a geometry-optimized ZnPbBr4 structure, as listed in the Alexandria database.

CIF file:
```
data_ZnPbBr4
_chemical_formula_sum 'Zn4 Pb4 Br16'
_cell_length_a 9.070
_cell_length_b 9.070
_cell_length_c 9.070
_cell_angle_alpha 90.00
_cell_angle_beta 90.00
_cell_angle_gamma 90.00
_space_group_name_H-M_alt 'F -4 3 m'
_space_group_IT_number 216
_space_group_name_Hall 'F -4 2 3'
loop_
_atom_site_label
_atom_site_type_symbol
_atom_site_fract_x
_atom_site_fract_y
_atom_site_fract_z
Zn1 Zn 0.000 0.000 0.000
Pb1 Pb 0.250 0.250 0.250
Br1 Br 0.125 0.125 0.625
```

## Properties
Its polymorph energy (0 for the lowest one) is 1.134 eV per atom. The value obtained for the energy relative to the elements, uncorrected is 27 kJ per mole of atoms.


First-principles (PBE-GGA) data for a geometry-optimized AlTl2Cu structure, as listed in the Alexandria database.

CIF file:
```
data_AlTl2Cu
_chemical_formula_sum 'Al4 Tl8 Cu4'
_cell_length_a 4.510
_cell_length_b 4.510
_cell_length_c 18.637
_cell_angle_alpha 90.00
_cell_angle_beta 90.00
_cell_angle_gamma 90.00
_space_group_name_H-M_alt 'I -4 2 d'
_space_group_IT_number 122
_space_group_name_Hall 'I -4 2bw'
loop_
_atom_site_label
_atom_site_type_symbol
_atom_site_fract_x
_atom_site_fract_y
_atom_site_fract_z
Al1 Al 0.000 0.000 0.000
Tl1 Tl 0.237 0.250 0.625
Cu1 Cu 0.000 0.000 0.500
```

## Properties
The energy of formation from the pure elements is 0.420 eV per atom. Its polymorph energy (0 for the lowest one) is 0.295 eV per atom.


First-principles (PBE-GGA) data for a geometry-optimized Ta2SbAu structure, as listed in the Alexandria database.

CIF file:
```
data_Ta2SbAu
_chemical_formula_sum 'Ta2 Sb1 Au1'
_cell_length_a 2.962
_cell_length_b 2.962
_cell_length_c 9.343
_cell_angle_alpha 90.00
_cell_angle_beta 90.00
_cell_angle_gamma 90.00
_space_group_name_H-M_alt 'P 4 m m'
_space_group_IT_number 99
_space_group_name_Hall 'P 4 -2'
loop_
_atom_site_label
_atom_site_type_symbol
_atom_site_fract_x
_atom_site_fract_y
_atom_site_fract_z
Ta1 Ta 0.000 0.000 0.000
Ta2 Ta 0.500 0.500 0.237
Sb1 Sb 0.500 0.500 0.758
Au1 Au 0.000 0.000 0.449
```

## Properties
The value obtained for the energy relative to the elements, uncorrected is 12 kJ per mole of atoms.


First-principles (PBE-GGA) data for a geometry-optimized Na2CeBeSe4 structure, as listed in the Alexandria database.

CIF file:
```
data_Na2CeBeSe4
_chemical_formula_sum 'Na8 Ce4 Be4 Se16'
_cell_length_a 11.242
_cell_length_b 11.798
_cell_length_c 7.895
_cell_angle_alpha 90.00
_cell_angle_beta 131.33
_cell_angle_gamma 90.00
_space_group_name_H-M_alt 'C 1 2/c 1'
_space_group_IT_number 15
_space_group_name_Hall '-C 2yc'
loop_
_atom_site_label
_atom_site_type_symbol
_atom_site_fract_x
_atom_site_fract_y
_atom_site_fract_z
Na1 Na 0.000 0.000 0.000
Na2 Na 0.250 0.250 0.000
Ce1 Ce 0.250 0.250 0.500
Be1 Be 0.000 0.500 0.000
Se1 Se 0.007 0.244 0.016
Se2 Se 0.197 0.494 0.501
```

## Properties
The value obtained for the energy relative to the elements, uncorrected is -104 kJ per mole of atoms.


| no. | energy (eV per cell) |
| --- | --- |
| 1 | -39.9 |
| 2 | -43.6 |
| 3 | -30.6 |
| 4 | -139.4 |